[1]
LaSm4In | PBE-GGA | relaxed

abc: 5.6712 7.8785 9.1582
angles: 90.00 108.04 90.00
Atoms (fractional coordinates):
La  0.8165  0.9530  0.6330
La  0.1835  0.4530  0.3670
Sm  0.0070  0.1814  0.0140
Sm  0.9930  0.6814  0.9860
Sm  0.5165  0.9412  0.0330
Sm  0.4835  0.4412  0.9670
Sm  0.8293  0.4419  0.6586
Sm  0.1707  0.9419  0.3414
Sm  0.6490  0.2385  0.2981
Sm  0.3510  0.7385  0.7019
In  0.6588  0.6775  0.3176
In  0.3412  0.1775  0.6824

Summary:
Polymorph energy (0 for the lowest one): 0.053 eV per atom
SG: Cmc2_1 (36)
Density of states at the Fermi level: 19.1 states/eV/cell
Calculated formation energy: -0.087 eV per atom

=====

[2]
La3SmIn4 | PBE-GGA | relaxed

abc: 3.9204 3.9204 15.7249
angles: 90.00 90.00 90.00
Atoms (fractional coordinates):
In  0.0000  0.0000  0.8839
In  0.0000  0.0000  0.1161
In  0.0000  0.0000  0.3729
In  0.0000  0.0000  0.6271
Sm  0.5000  0.5000  0.0000
La  0.5000  0.5000  0.2456
La  0.5000  0.5000  0.5000
La  0.5000  0.5000  0.7544

Summary:
SG: P4/mmm (123)
Density of states at the Fermi level: 5.5 states/eV/cell
Calculated formation energy: -0.512 eV per atom

=====

[3]
La4SmIn5 | PBE-GGA | relaxed

abc: 3.9179 3.9179 19.7663
angles: 90.00 90.00 90.00
Atoms (fractional coordinates):
La  0.0000  0.0000  0.1951
La  0.0000  0.0000  0.3984
La  0.0000  0.0000  0.6016
La  0.0000  0.0000  0.8049
Sm  0.0000  0.0000  0.0000
In  0.5000  0.5000  0.0921
In  0.5000  0.5000  0.2966
In  0.5000  0.5000  0.5000
In  0.5000  0.5000  0.7034
In  0.5000  0.5000  0.9079

Summary:
SG: P4/mmm (123)
Density of states at the Fermi level: 6.4 states/eV/cell
Calculated formation energy: -0.512 eV per atom

=====

[4]
LaSm2In | PBE-GGA | relaxed

abc: 5.5711 5.5711 5.5711
angles: 60.00 60.00 60.00
Atoms (fractional coordinates):
In  0.5000  0.5000  0.5000
Sm  0.2500  0.2500  0.2500
Sm  0.7500  0.7500  0.7500
La  0.0000  0.0000  0.0000

Summary:
Polymorph energy (0 for the lowest one): 0.156 eV per atom
SG: Fm-3m (225)
Density of states at the Fermi level: 7.9 states/eV/cell
Calculated formation energy: -0.117 eV per atom

=====

[5]
La3Sm2In3 | PBE-GGA | relaxed

abc: 3.9430 5.5818 12.0684
angles: 103.37 99.40 90.00
Atoms (fractional coordinates):
La  0.3778  0.3778  0.7555
La  0.6222  0.6222  0.2445
La  0.5000  0.0000  0.0000
Sm  0.2664  0.7664  0.5328
Sm  0.7336  0.2336  0.4672
In  0.8780  0.8780  0.7561
In  0.0000  0.5000  0.0000
In  0.1220  0.1220  0.2439

Summary:
Polymorph energy (0 for the lowest one): 0.000 eV per atom
SG: Immm (71)
Density of states at the Fermi level: 8.6 states/eV/cell
Calculated formation energy: -0.372 eV per atom

=====

[6]
La2Sm9In | PBE-GGA | relaxed

abc: 5.0538 5.0538 15.5388
angles: 90.00 90.00 90.00
Atoms (fractional coordinates):
La  0.0000  0.0000  0.3307
La  0.0000  0.0000  0.6693
Sm  0.5000  0.5000  0.0000
Sm  0.5000  0.5000  0.3273
Sm  0.5000  0.5000  0.6727
Sm  0.5000  0.0000  0.1582
Sm  0.5000  0.0000  0.5000
Sm  0.5000  0.0000  0.8418
Sm  0.0000  0.5000  0.1582
Sm  0.0000  0.5000  0.5000
Sm  0.0000  0.5000  0.8418
In  0.0000  0.0000  0.0000

Summary:
SG: P4/mmm (123)
Density of states at the Fermi level: 17.6 states/eV/cell
Calculated formation energy: -0.059 eV per atom

=====

[7]
La12SmIn6 | PBE-GGA | relaxed

abc: 8.4835 8.4835 8.4835
angles: 89.69 89.69 89.69
Atoms (fractional coordinates):
La  0.8170  0.5275  0.4362
La  0.4362  0.8170  0.5275
La  0.5275  0.4362  0.8170
La  0.1830  0.4725  0.5638
La  0.5638  0.1830  0.4725
La  0.4725  0.5638  0.1830
La  0.0546  0.1518  0.3896
La  0.8482  0.6104  0.9454
La  0.6104  0.9454  0.8482
La  0.9454  0.8482  0.6104
La  0.1518  0.3896  0.0546
La  0.3896  0.0546  0.1518
Sm  0.0000  0.0000  0.0000
In  0.7341  0.8796  0.2544
In  0.7456  0.2659  0.1204
In  0.1204  0.7456  0.2659
In  0.2659  0.1204  0.7456
In  0.2544  0.7341  0.8796
In  0.8796  0.2544  0.7341

Summary:
SG: R-3 (148)
Density of states at the Fermi level: 22.0 states/eV/cell
Calculated formation energy: -0.270 eV per atom

=====

[8]
LaSm4In | PBE-GGA | relaxed

abc: 3.6724 3.6724 14.5403
angles: 90.00 90.00 90.00
Atoms (fractional coordinates):
La  0.0000  0.0000  0.0000
Sm  0.5000  0.5000  0.1806
Sm  0.0000  0.0000  0.6439
Sm  0.0000  0.0000  0.3561
Sm  0.5000  0.5000  0.8194
In  0.5000  0.5000  0.5000

Summary:
Polymorph energy (0 for the lowest one): 0.000 eV per atom
SG: P4/mmm (123)
Density of states at the Fermi level: 8.1 states/eV/cell
Calculated formation energy: -0.140 eV per atom

=====

[9]
LaSmIn6 | PBE-GGA | relaxed

abc: 4.7385 4.7385 9.4636
angles: 90.00 90.00 90.00
Atoms (fractional coordinates):
La  0.0000  0.0000  0.0000
Sm  0.0000  0.0000  0.5000
In  0.5000  0.5000  0.0000
In  0.5000  0.5000  0.5000
In  0.5000  0.0000  0.2544
In  0.5000  0.0000  0.7456
In  0.0000  0.5000  0.2544
In  0.0000  0.5000  0.7456

Summary:
Polymorph energy (0 for the lowest one): 0.000 eV per atom
SG: P4/mmm (123)
Density of states at the Fermi level: 4.2 states/eV/cell
Calculated formation energy: -0.473 eV per atom

=====

[10]
LaSm2In | PBE-GGA | relaxed

abc: 3.6927 3.6927 9.3069
angles: 90.00 90.00 90.00
Atoms (fractional coordinates):
In  0.5000  0.5000  0.0000
Sm  0.0000  0.0000  0.7781
Sm  0.0000  0.0000  0.2219
La  0.5000  0.5000  0.5000

Summary:
Polymorph energy (0 for the lowest one): 0.039 eV per atom
SG: P4/mmm (123)
Density of states at the Fermi level: 4.0 states/eV/cell
Calculated formation energy: -0.235 eV per atom

=====

[11]
La3Sm12In | PBE-GGA | relaxed

abc: 5.0836 5.0836 20.7141
angles: 90.00 90.00 90.00
Atoms (fractional coordinates):
La  0.0000  0.0000  0.2474
La  0.0000  0.0000  0.5000
La  0.0000  0.0000  0.7526
Sm  0.5000  0.5000  0.0000
Sm  0.5000  0.5000  0.2429
Sm  0.5000  0.5000  0.5000
Sm  0.5000  0.5000  0.7571
Sm  0.5000  0.0000  0.1182
Sm  0.5000  0.0000  0.3729
Sm  0.5000  0.0000  0.6271
Sm  0.5000  0.0000  0.8818
Sm  0.0000  0.5000  0.1182
Sm  0.0000  0.5000  0.3729
Sm  0.0000  0.5000  0.6271
Sm  0.0000  0.5000  0.8818
In  0.0000  0.0000  0.0000

Summary:
SG: P4/mmm (123)
Density of states at the Fermi level: 23.5 states/eV/cell
Calculated formation energy: -0.038 eV per atom

=====

[12]
LaSm6In3 | PBE-GGA | relaxed

abc: 5.3450 10.1453 11.5111
angles: 100.75 90.00 90.00
Atoms (fractional coordinates):
La  0.2500  0.9555  0.5943
La  0.7500  0.0445  0.4057
Sm  0.2500  0.4524  0.0955
Sm  0.7500  0.5476  0.9045
Sm  0.2500  0.1376  0.2227
Sm  0.7500  0.8624  0.7773
Sm  0.2500  0.6372  0.6903
Sm  0.7500  0.3628  0.3097
Sm  0.2500  0.2770  0.5182
Sm  0.7500  0.7230  0.4818
Sm  0.2500  0.8146  0.2782
Sm  0.7500  0.1854  0.7218
Sm  0.2500  0.0737  0.9108
Sm  0.7500  0.9263  0.0892
In  0.2500  0.5426  0.3920
In  0.7500  0.4574  0.6080
In  0.2500  0.3586  0.8074
In  0.7500  0.6414  0.1926
In  0.2500  0.7574  0.9745
In  0.7500  0.2426  0.0255

Summary:
Polymorph energy (0 for the lowest one): 0.000 eV per atom
SG: P2_1/m (11)
Density of states at the Fermi level: 23.4 states/eV/cell
Calculated formation energy: -0.271 eV per atom

=====

[13]
La3Sm4In | PBE-GGA | relaxed

abc: 5.0172 10.2289 10.2825
angles: 90.00 90.00 90.00
Atoms (fractional coordinates):
In  0.0644  0.3683  0.0000
In  0.5644  0.6317  0.5000
Sm  0.0644  0.8748  0.0000
Sm  0.5644  0.1286  0.0000
Sm  0.0644  0.1258  0.2443
Sm  0.5644  0.8742  0.2557
Sm  0.0644  0.8714  0.5000
Sm  0.5644  0.1252  0.5000
Sm  0.5644  0.8742  0.7443
Sm  0.0644  0.1258  0.7557
La  0.5644  0.6222  0.0000
La  0.0644  0.6164  0.2513
La  0.5644  0.3836  0.2487
La  0.0644  0.3778  0.5000
La  0.5644  0.3836  0.7513
La  0.0644  0.6164  0.7487

Summary:
Polymorph energy (0 for the lowest one): 0.000 eV per atom
SG: Pmmn (59)
Density of states at the Fermi level: 20.4 states/eV/cell
Calculated formation energy: -0.114 eV per atom

=====

[14]
La2Tb3Sm6In | PBE-GGA | relaxed

abc: 6.2007 6.2007 11.9258
angles: 95.00 95.00 120.05
Atoms (fractional coordinates):
La  0.3336  0.6664  0.0000
La  0.6664  0.3336  0.0000
Tb  0.1674  0.8326  0.5000
Tb  0.8326  0.1674  0.5000
Tb  0.5000  0.5000  0.5000
Sm  0.9165  0.5916  0.7488
Sm  0.7588  0.7588  0.2521
Sm  0.0835  0.4084  0.2512
Sm  0.5916  0.9165  0.7488
Sm  0.2412  0.2412  0.7479
Sm  0.4084  0.0835  0.2512
In  0.0000  0.0000  0.0000

Summary:
SG: C2/m (12)
Density of states at the Fermi level: 15.6 states/eV/cell
Calculated formation energy: -0.062 eV per atom

=====

[15]
La3Tb6Sm2In | PBE-GGA | relaxed

abc: 6.1859 6.1859 11.8633
angles: 95.01 95.01 120.04
Atoms (fractional coordinates):
La  0.1691  0.8309  0.5000
La  0.8309  0.1691  0.5000
La  0.5000  0.5000  0.5000
Tb  0.9193  0.5932  0.7567
Tb  0.7546  0.7546  0.2446
Tb  0.0807  0.4068  0.2433
Tb  0.5932  0.9193  0.7567
Tb  0.2454  0.2454  0.7554
Tb  0.4068  0.0807  0.2433
Sm  0.3338  0.6662  0.0000
Sm  0.6662  0.3338  0.0000
In  0.0000  0.0000  0.0000

Summary:
SG: C2/m (12)
Density of states at the Fermi level: 15.7 states/eV/cell
Calculated formation energy: -0.048 eV per atom

=====

[16]
LaTbSmIn | PBE-GGA | relaxed

abc: 5.5375 5.5375 5.5378
angles: 120.00 120.00 90.00
Atoms (fractional coordinates):
La  0.7500  0.2500  0.5000
Tb  0.5000  0.5000  0.0000
Sm  0.0000  0.0000  0.0000
In  0.2500  0.7500  0.5000

Summary:
Polymorph energy (0 for the lowest one): 0.047 eV per atom
SG: F-43m (216)
Density of states at the Fermi level: 7.5 states/eV/cell
Calculated formation energy: -0.109 eV per atom

=====

[17]
LaTbSmIn | PBE-GGA | relaxed

abc: 5.5927 5.5927 5.5927
angles: 60.00 60.00 60.00
Last column: magnetic moment on the atom in μB.
Atoms (fractional coordinates):
In  0.0000  0.0000  0.0000  -0.01
Tb  0.5000  0.5000  0.5000  0.30
Sm  0.2500  0.2500  0.2500  0.17
La  0.7500  0.7500  0.7500  0.15

Summary:
Polymorph energy (0 for the lowest one): 0.000 eV per atom
SG: F-43m (216)
Density of states at the Fermi level: 6.2 states/eV/cell
Calculated formation energy: -0.156 eV per atom

=====

[18]
La2TbSmIn2 | PBE-GGA | relaxed

abc: 5.2190 6.8907 10.3283
angles: 90.00 90.00 90.00
Atoms (fractional coordinates):
La  0.5000  0.0853  0.0572
La  0.0000  0.3103  0.1790
La  0.5000  0.5853  0.9428
La  0.0000  0.8103  0.8210
Tb  0.5000  0.1803  0.6893
Tb  0.5000  0.6803  0.3107
Sm  0.0000  0.9556  0.4590
Sm  0.0000  0.4556  0.5410
In  0.0000  0.2969  0.8523
In  0.5000  0.2172  0.3813
In  0.0000  0.7969  0.1477
In  0.5000  0.7172  0.6187

Summary:
SG: Pmc2_1 (26)
Density of states at the Fermi level: 13.4 states/eV/cell
Calculated formation energy: -0.359 eV per atom

=====

[19]
La3Tb2Sm6In | PBE-GGA | relaxed

abc: 6.2513 6.2513 11.9004
angles: 95.09 95.09 120.13
Atoms (fractional coordinates):
La  0.1704  0.8296  0.5000
La  0.8296  0.1704  0.5000
La  0.5000  0.5000  0.5000
Tb  0.3340  0.6660  0.0000
Tb  0.6660  0.3340  0.0000
Sm  0.9206  0.5950  0.7584
Sm  0.7542  0.7542  0.2437
Sm  0.0794  0.4050  0.2416
Sm  0.5950  0.9206  0.7584
Sm  0.2458  0.2458  0.7563
Sm  0.4050  0.0794  0.2416
In  0.0000  0.0000  0.0000

Summary:
SG: C2/m (12)
Density of states at the Fermi level: 16.6 states/eV/cell
Calculated formation energy: -0.037 eV per atom

=====

[20]
LaSm2In3Te6 | PBE-GGA | relaxed

abc: 7.8442 7.8442 8.5190
angles: 98.83 98.83 119.99
Atoms (fractional coordinates):
La  0.0000  0.0000  0.0000
Sm  0.3332  0.6668  0.0000
Sm  0.6668  0.3332  0.0000
In  0.1657  0.8343  0.5000
In  0.8343  0.1657  0.5000
In  0.5000  0.5000  0.5000
Te  0.9247  0.5848  0.7743
Te  0.7347  0.7347  0.2240
Te  0.0753  0.4152  0.2257
Te  0.5848  0.9247  0.7743
Te  0.2653  0.2653  0.7760
Te  0.4152  0.0753  0.2257

Summary:
SG: C2/m (12)
Raw total energy: -4.466 eV per atom
Density of states at the Fermi level: 0.2 states/eV/cell

=====

[21]
LaSmIn2Te4 | PBE-GGA | relaxed

abc: 4.5522 8.5192 7.8864
angles: 72.07 90.00 90.00
Atoms (fractional coordinates):
La  0.0000  0.5000  0.5000
Sm  0.5000  0.5000  0.0000
In  0.0000  0.0000  0.0000
In  0.5000  0.0000  0.5000
Te  0.0000  0.7243  0.7649
Te  0.0000  0.2757  0.2351
Te  0.5000  0.7271  0.2512
Te  0.5000  0.2729  0.7488

Summary:
SG: P2/m (10)
Raw total energy: -4.487 eV per atom
Density of states at the Fermi level: 0.1 states/eV/cell

=====

[22]
La2SmIn3Te6 | PBE-GGA | relaxed

abc: 7.9267 7.9267 8.5236
angles: 98.92 98.92 119.99
Atoms (fractional coordinates):
La  0.3335  0.6665  0.0000
La  0.6665  0.3335  0.0000
Sm  0.0000  0.0000  0.0000
In  0.1675  0.8325  0.5000
In  0.8325  0.1675  0.5000
In  0.5000  0.5000  0.5000
Te  0.9249  0.5982  0.7744
Te  0.7492  0.7492  0.2274
Te  0.0751  0.4018  0.2256
Te  0.5982  0.9249  0.7744
Te  0.2508  0.2508  0.7726
Te  0.4018  0.0751  0.2256

Summary:
SG: C2/m (12)
Raw total energy: -4.510 eV per atom